Entry 1:
Density functional theory data (PBE) for LaSm2Mg3Pt2Au after structural relaxation. Values from VASP.

Geometry as Quantum ESPRESSO input:
```
&SYSTEM
  ibrav = 0, nat = 9, ntyp = 5
/
ATOMIC_SPECIES
Sm 150.36 Sm.upf
Pt 195.08 Pt.upf
La 138.91 La.upf
Mg 24.30 Mg.upf
Au 196.97 Au.upf
CELL_PARAMETERS angstrom
-0.068 2.502 3.276
1.703 -5.871 4.519
5.605 4.136 -3.044
ATOMIC_POSITIONS crystal
Sm 0.000 0.417 0.001
Sm 0.000 0.001 0.417
Pt 0.500 0.668 0.333
Pt 0.500 0.333 0.668
La 0.000 0.578 0.578
Mg 0.500 0.242 0.242
Mg 0.500 0.004 0.754
Mg 0.500 0.754 0.004
Au 0.000 0.003 0.003
```

Properties
Raw total energy (eV per cell): -41.9

***

Entry 2:
Density functional theory data (PBE) for Li3H2Pt after structural relaxation. Values from VASP.

Geometry as Quantum ESPRESSO input:
```
&SYSTEM
  ibrav = 0, nat = 6, ntyp = 3
/
ATOMIC_SPECIES
Li 6.94 Li.upf
Pt 195.08 Pt.upf
H 1.01 H.upf
CELL_PARAMETERS angstrom
-2.716 -0.169 0.316
1.404 -2.149 -0.956
1.138 -2.907 8.208
ATOMIC_POSITIONS crystal
Li 0.333 0.667 0.740
Li 0.000 0.000 0.000
Li 0.667 0.333 0.260
Pt 0.000 0.000 0.500
H 0.333 0.667 0.131
H 0.667 0.333 0.869
```

Properties
Raw total energy (eV per cell): -21.3

***

Entry 3:
Density functional theory data (PBE) for Li2ZnCdGa2Pt2 after structural relaxation. Values from VASP.

Geometry as Quantum ESPRESSO input:
```
&SYSTEM
  ibrav = 0, nat = 8, ntyp = 5
/
ATOMIC_SPECIES
Li 6.94 Li.upf
Cd 112.41 Cd.upf
Zn 65.41 Zn.upf
Pt 195.08 Pt.upf
Ga 69.72 Ga.upf
CELL_PARAMETERS angstrom
-2.301 -3.443 1.487
1.859 -2.562 -3.056
4.632 -1.379 3.974
ATOMIC_POSITIONS crystal
Li 0.500 0.000 0.264
Li 0.000 0.500 0.736
Cd 0.500 0.500 0.000
Zn 0.000 0.000 0.500
Pt 0.500 0.000 0.731
Pt 0.000 0.500 0.269
Ga 0.500 0.500 0.500
Ga 0.000 0.000 0.000
```

Properties
Raw total energy (eV per cell): -28.6

***

Entry 4:
Density functional theory data (PBE) for BaCd2GaPd after structural relaxation. Values from VASP.

Geometry as Quantum ESPRESSO input:
```
&SYSTEM
  ibrav = 0, nat = 5, ntyp = 4
/
ATOMIC_SPECIES
Ba 137.33 Ba.upf
Ga 69.72 Ga.upf
Pd 106.42 Pd.upf
Cd 112.41 Cd.upf
CELL_PARAMETERS angstrom
-2.310 2.310 5.932
2.310 -2.310 5.932
2.310 2.310 -5.932
ATOMIC_POSITIONS crystal
Ba 0.997 0.997 0.000
Ga 0.606 0.606 0.000
Pd 0.394 0.394 0.000
Cd 0.251 0.751 0.500
Cd 0.751 0.251 0.500
```

Properties
Raw total energy (eV per cell): -14.1

***

Entry 5:
Density functional theory data (PBE) for ZrHgPd2 after structural relaxation. Values from VASP.

Geometry as Quantum ESPRESSO input:
```
&SYSTEM
  ibrav = 0, nat = 4, ntyp = 3
/
ATOMIC_SPECIES
Hg 200.59 Hg.upf
Pd 106.42 Pd.upf
Zr 91.22 Zr.upf
CELL_PARAMETERS angstrom
0.000 3.306 3.306
3.306 0.000 3.306
3.306 3.306 0.000
ATOMIC_POSITIONS crystal
Hg 0.250 0.250 0.250
Pd 0.000 0.000 0.000
Pd 0.750 0.750 0.750
Zr 0.500 0.500 0.500
```

Properties
Calculated formation energy (eV per atom): -0.376
Raw total energy (eV per cell): -20.7

***

Entry 6:
Density functional theory data (PBE) for CsBaZr after structural relaxation. Values from VASP.

Geometry as Quantum ESPRESSO input:
```
&SYSTEM
  ibrav = 0, nat = 3, ntyp = 3
/
ATOMIC_SPECIES
Zr 91.22 Zr.upf
Cs 132.91 Cs.upf
Ba 137.33 Ba.upf
CELL_PARAMETERS angstrom
1.977 -5.633 0.281
-3.811 -4.449 1.187
-1.469 -3.900 -4.285
ATOMIC_POSITIONS crystal
Zr 0.750 0.750 0.750
Cs 0.000 0.000 0.000
Ba 0.250 0.250 0.250
```

Properties
Raw total energy (eV per cell): -6.8
Energy above the lowest structure with this stoichiometry (eV/atom): 0.231

***

Entry 7:
Density functional theory data (PBE) for CoSiGe2 after structural relaxation. Values from VASP.

Geometry as Quantum ESPRESSO input:
```
&SYSTEM
  ibrav = 0, nat = 4, ntyp = 3
/
ATOMIC_SPECIES
Si 28.09 Si.upf
Ge 72.64 Ge.upf
Co 58.93 Co.upf
CELL_PARAMETERS angstrom
1.784 0.785 3.924
-1.587 3.210 2.525
-2.217 -0.977 3.650
ATOMIC_POSITIONS crystal
Si 0.500 0.500 0.500
Ge 0.000 0.000 0.000
Ge 0.750 0.750 0.750
Co 0.250 0.250 0.250
```

Properties
Raw total energy (eV per cell): -20.2

***

Entry 8:
Density functional theory data (PBE) for PrCdSbI2 after structural relaxation. Values from VASP.

Geometry as Quantum ESPRESSO input:
```
&SYSTEM
  ibrav = 0, nat = 5, ntyp = 4
/
ATOMIC_SPECIES
I 126.90 I.upf
Cd 112.41 Cd.upf
Sb 121.76 Sb.upf
Pr 140.91 Pr.upf
CELL_PARAMETERS angstrom
-2.902 -0.595 3.375
3.440 -2.838 -0.531
6.217 6.328 6.461
ATOMIC_POSITIONS crystal
I 0.000 0.000 0.332
I 0.333 0.667 0.685
Cd 0.000 0.000 0.846
Sb 0.667 0.333 0.989
Pr 0.333 0.667 0.148
```

Properties
Raw total energy (eV per cell): -16.8

***

Entry 9:
Density functional theory data (PBE) for Hf4SeS after structural relaxation. Values from VASP.

Geometry as Quantum ESPRESSO input:
```
&SYSTEM
  ibrav = 0, nat = 6, ntyp = 3
/
ATOMIC_SPECIES
Se 78.96 Se.upf
S 32.06 S.upf
Hf 178.49 Hf.upf
CELL_PARAMETERS angstrom
-1.651 -0.074 2.975
3.399 -0.167 -0.065
0.602 12.034 0.632
ATOMIC_POSITIONS crystal
Se 0.000 0.000 0.500
S 0.000 0.000 0.000
Hf 0.667 0.333 0.341
Hf 0.667 0.333 0.659
Hf 0.333 0.667 0.147
Hf 0.333 0.667 0.853
```

Properties
Raw total energy (eV per cell): -52.9

***

Entry 10:
Density functional theory data (PBE) for TaB4As after structural relaxation. Values from VASP.

Geometry as Quantum ESPRESSO input:
```
&SYSTEM
  ibrav = 0, nat = 6, ntyp = 3
/
ATOMIC_SPECIES
B 10.81 B.upf
Ta 180.95 Ta.upf
As 74.92 As.upf
CELL_PARAMETERS angstrom
-0.663 0.492 -2.944
-0.156 -2.829 1.151
-7.090 1.117 1.784
ATOMIC_POSITIONS crystal
B 0.667 0.333 0.729
B 0.333 0.667 0.729
B 0.667 0.333 0.271
B 0.333 0.667 0.271
Ta 0.000 0.000 0.500
As 0.000 0.000 0.000
```

Properties
Raw total energy (eV per cell): -42.7
Energy above the lowest structure with this stoichiometry (eV/atom): 0.000

***

Entry 11:
Density functional theory data (PBE) for PrSmI2BrN after structural relaxation. Values from VASP.

Geometry as Quantum ESPRESSO input:
```
&SYSTEM
  ibrav = 0, nat = 12, ntyp = 5
/
ATOMIC_SPECIES
Br 79.90 Br.upf
I 126.90 I.upf
Sm 150.36 Sm.upf
N 14.01 N.upf
Pr 140.91 Pr.upf
CELL_PARAMETERS angstrom
10.093 -2.048 0.000
10.093 2.048 0.000
-7.597 0.000 10.016
ATOMIC_POSITIONS crystal
Br 0.674 0.674 0.003
Br 0.326 0.326 0.997
I 0.034 0.034 0.240
I 0.966 0.966 0.760
I 0.220 0.220 0.629
I 0.780 0.780 0.371
Sm 0.570 0.570 0.463
Sm 0.430 0.430 0.537
N 0.573 0.573 0.650
N 0.427 0.427 0.350
Pr 0.137 0.137 0.785
Pr 0.863 0.863 0.215
```

Properties
Raw total energy (eV per cell): -64.1
Energy above the lowest structure with this stoichiometry (eV/atom): 0.013

***

Entry 12:
Density functional theory data (PBE) for NbCuSnAu after structural relaxation. Values from VASP.

Geometry as Quantum ESPRESSO input:
```
&SYSTEM
  ibrav = 0, nat = 4, ntyp = 4
/
ATOMIC_SPECIES
Nb 92.91 Nb.upf
Sn 118.71 Sn.upf
Cu 63.55 Cu.upf
Au 196.97 Au.upf
CELL_PARAMETERS angstrom
0.000 3.305 3.305
3.305 0.000 3.305
3.305 3.305 0.000
ATOMIC_POSITIONS crystal
Nb 0.500 0.500 0.500
Sn 0.000 0.000 0.000
Cu 0.750 0.750 0.750
Au 0.250 0.250 0.250
```

Properties
Raw total energy (eV per cell): -20.1
Energy above the lowest structure with this stoichiometry (eV/atom): 0.084

***

Entry 13:
Density functional theory data (PBE) for KHfGe after structural relaxation. Values from VASP.

Geometry as Quantum ESPRESSO input:
```
&SYSTEM
  ibrav = 0, nat = 3, ntyp = 3
/
ATOMIC_SPECIES
Ge 72.64 Ge.upf
Hf 178.49 Hf.upf
K 39.10 K.upf
CELL_PARAMETERS angstrom
0.000 3.451 3.451
3.451 0.000 3.451
3.451 3.451 0.000
ATOMIC_POSITIONS crystal
Ge 0.000 0.000 0.000
Hf 0.250 0.250 0.250
K 0.750 0.750 0.750
```

Properties
Raw total energy (eV per cell): -13.8
Energy above the lowest structure with this stoichiometry (eV/atom): 0.000

***

Entry 14:
Density functional theory data (PBE) for MoOs2W2 after structural relaxation. Values from VASP.

Geometry as Quantum ESPRESSO input:
```
&SYSTEM
  ibrav = 0, nat = 5, ntyp = 3
/
ATOMIC_SPECIES
W 183.84 W.upf
Os 190.23 Os.upf
Mo 95.94 Mo.upf
CELL_PARAMETERS angstrom
6.404 -0.128 1.179
3.415 2.065 5.147
-5.171 -3.412 -2.010
ATOMIC_POSITIONS crystal
W 0.392 0.392 0.000
W 0.608 0.608 0.000
Os 0.250 0.750 0.500
Os 0.750 0.250 0.500
Mo 0.000 0.000 0.000
```

Properties
Calculated formation energy (eV per atom): 0.888
Raw total energy (eV per cell): -54.8
Energy above the lowest structure with this stoichiometry (eV/atom): 0.160

***

Entry 15:
Density functional theory data (PBE) for Mg2Co after structural relaxation. Values from VASP.

Geometry as Quantum ESPRESSO input:
```
&SYSTEM
  ibrav = 0, nat = 6, ntyp = 2
/
ATOMIC_SPECIES
Mg 24.30 Mg.upf
Co 58.93 Co.upf
CELL_PARAMETERS angstrom
3.962 2.287 6.470
-3.962 2.287 6.470
0.000 -4.575 6.470
ATOMIC_POSITIONS crystal
Mg 0.375 0.875 0.375
Mg 0.875 0.375 0.375
Mg 0.375 0.375 0.375
Mg 0.375 0.375 0.875
Co 0.500 0.500 0.500
Co 0.250 0.250 0.250
```

Properties
Raw total energy (eV per cell): -11.6

***

Entry 16:
Density functional theory data (PBE) for SmCoSi2Ir after structural relaxation. Values from VASP.

Geometry as Quantum ESPRESSO input:
```
&SYSTEM
  ibrav = 0, nat = 5, ntyp = 4
/
ATOMIC_SPECIES
Si 28.09 Si.upf
Ir 192.22 Ir.upf
Co 58.93 Co.upf
Sm 150.36 Sm.upf
CELL_PARAMETERS angstrom
-2.003 2.003 5.031
2.003 -2.003 5.031
2.003 2.003 -5.031
ATOMIC_POSITIONS crystal
Si 0.626 0.126 0.500
Si 0.874 0.374 0.500
Ir 0.500 0.500 0.000
Co 0.000 0.000 0.000
Sm 0.250 0.750 0.500
```

Properties
Raw total energy (eV per cell): -36.2

***

Entry 17:
Density functional theory data (PBE) for LaCdInTe3 after structural relaxation. Values from VASP.

Geometry as Quantum ESPRESSO input:
```
&SYSTEM
  ibrav = 0, nat = 24, ntyp = 4
/
ATOMIC_SPECIES
Cd 112.41 Cd.upf
La 138.91 La.upf
Te 127.60 Te.upf
In 114.82 In.upf
CELL_PARAMETERS angstrom
-8.607 8.422 -0.870
-3.202 -3.291 -0.185
-1.214 0.327 15.166
ATOMIC_POSITIONS crystal
Cd 0.760 0.750 0.280
Cd 0.740 0.250 0.780
Cd 0.260 0.750 0.220
Cd 0.240 0.250 0.720
La 0.988 0.750 0.758
La 0.012 0.250 0.242
La 0.488 0.750 0.742
La 0.512 0.250 0.258
Te 0.421 0.250 0.603
Te 0.758 0.250 0.163
Te 0.045 0.250 0.614
Te 0.579 0.750 0.397
Te 0.455 0.750 0.114
Te 0.258 0.250 0.337
Te 0.079 0.750 0.103
Te 0.742 0.750 0.663
Te 0.955 0.750 0.386
Te 0.545 0.250 0.886
Te 0.242 0.750 0.837
Te 0.921 0.250 0.897
In 0.779 0.250 0.490
In 0.721 0.750 0.990
In 0.221 0.750 0.510
In 0.279 0.250 0.010
```

Properties
Raw total energy (eV per cell): -92.0
Energy above the lowest structure with this stoichiometry (eV/atom): 0.000

***

Entry 18:
Density functional theory data (PBE) for LiScZnSe3 after structural relaxation. Values from VASP.

Geometry as Quantum ESPRESSO input:
```
&SYSTEM
  ibrav = 0, nat = 12, ntyp = 4
/
ATOMIC_SPECIES
Li 6.94 Li.upf
Se 78.96 Se.upf
Zn 65.41 Zn.upf
Sc 44.96 Sc.upf
CELL_PARAMETERS angstrom
3.843 0.000 0.000
1.921 6.483 0.000
0.000 0.000 10.459
ATOMIC_POSITIONS crystal
Li 0.776 0.448 0.750
Li 0.224 0.552 0.250
Se 0.362 0.276 0.566
Se 0.904 0.192 0.250
Se 0.638 0.724 0.066
Se 0.096 0.808 0.750
Se 0.362 0.276 0.934
Se 0.638 0.724 0.434
Zn 0.477 0.045 0.750
Zn 0.523 0.955 0.250
Sc 0.000 0.000 0.000
Sc 0.000 0.000 0.500
```

Properties
Raw total energy (eV per cell): -54.2
Energy above the lowest structure with this stoichiometry (eV/atom): 0.010

***

Entry 19:
Density functional theory data (PBE) for Zr4AlB3 after structural relaxation. Values from VASP.

Geometry as Quantum ESPRESSO input:
```
&SYSTEM
  ibrav = 0, nat = 16, ntyp = 3
/
ATOMIC_SPECIES
B 10.81 B.upf
Zr 91.22 Zr.upf
Al 26.98 Al.upf
CELL_PARAMETERS angstrom
3.441 0.000 0.000
-1.721 2.980 0.000
0.000 0.000 26.151
ATOMIC_POSITIONS crystal
B 0.333 0.667 0.889
B 0.667 0.333 0.111
B 0.000 0.000 0.500
B 0.333 0.667 0.611
B 0.667 0.333 0.389
B 0.000 0.000 0.000
Zr 0.333 0.667 0.444
Zr 0.333 0.667 0.056
Zr 0.667 0.333 0.556
Zr 0.000 0.000 0.340
Zr 0.000 0.000 0.840
Zr 0.000 0.000 0.160
Zr 0.667 0.333 0.944
Zr 0.000 0.000 0.660
Al 0.667 0.333 0.750
Al 0.333 0.667 0.250
```

Properties
Raw total energy (eV per cell): -121.9

***

Entry 20:
Density functional theory data (PBE) for AlAgSO after structural relaxation. Values from VASP.

Geometry as Quantum ESPRESSO input:
```
&SYSTEM
  ibrav = 0, nat = 16, ntyp = 4
/
ATOMIC_SPECIES
S 32.06 S.upf
Al 26.98 Al.upf
Ag 107.87 Ag.upf
O 16.00 O.upf
CELL_PARAMETERS angstrom
0.005 -4.968 1.744
-1.311 -1.578 -4.492
9.471 -2.041 -2.047
ATOMIC_POSITIONS crystal
S 0.683 0.562 0.672
S 0.317 0.062 0.328
S 0.753 0.545 0.223
S 0.247 0.045 0.777
Al 0.426 0.266 0.106
Al 0.961 0.249 0.931
Al 0.574 0.766 0.894
Al 0.039 0.749 0.069
Ag 0.078 0.801 0.585
Ag 0.380 0.292 0.548
Ag 0.922 0.301 0.415
Ag 0.620 0.792 0.452
O 0.347 0.584 0.021
O 0.124 0.100 0.066
O 0.876 0.600 0.934
O 0.653 0.084 0.979
```

Properties
Raw total energy (eV per cell): -84.2
Energy above the lowest structure with this stoichiometry (eV/atom): 0.003